Record 1
A plane-wave DFT calculation with PBE-GGA was carried out for a geometry-optimized HfNbS2O structure.

**V**: 120.2 Å³/cell
**Raw formation energy**: 0.81 eV per atom
**Total moment**: 0.0 μB/f.u.
**Uncorrected energy**: -0.4289 Ry per atom
**SG**: No. 123
**Crystal system**: tetragonal

Lattice parameters (Å, degrees): 4.670 5.513 4.670 90.00 90.00 90.00
Fractional coordinates of all 5 atoms:
O 0.500 0.500 0.500
S 0.000 0.000 0.500
Nb 0.000 0.500 0.000
S 0.500 0.000 0.000
Hf 0.000 0.000 0.000

=====

Record 2
A plane-wave DFT calculation with PBE-GGA was carried out for a geometry-optimized HfScNbO2 structure.

**V**: 93.9 Å³/cell
**Raw formation energy**: -0.59 eV per atom
**Total moment**: 0.0 μB/f.u.
**Uncorrected energy**: -0.5764 Ry per atom
**SG**: No. 123
**Crystal system**: tetragonal

Lattice parameters (Å, degrees): 4.044 5.742 4.044 90.00 90.00 90.00
Fractional coordinates of all 5 atoms:
Nb 0.000 0.000 0.000
O 0.000 0.000 0.500
Sc 0.500 0.500 0.500
O 0.500 0.000 0.000
Hf 0.000 0.500 0.000

=====

Record 3
A plane-wave DFT calculation with PBE-GGA was carried out for a geometry-optimized Hf2ScNbO structure.

**V**: 87.4 Å³/cell
**Raw formation energy**: -1.08 eV per atom
**Total moment**: 0.0 μB/f.u.
**Uncorrected energy**: -0.6859 Ry per atom
**SG**: No. 123
**Crystal system**: tetragonal

Lattice parameters (Å, degrees): 4.474 4.474 4.366 90.00 90.00 90.00
Fractional coordinates of all 5 atoms:
Nb 0.500 0.500 0.500
Hf 0.500 0.000 0.000
O 0.000 0.000 0.000
Sc 0.000 0.000 0.500
Hf 0.000 0.500 0.000

=====

Record 4
A plane-wave DFT calculation with PBE-GGA was carried out for a geometry-optimized HfSc2NbO structure.

**V**: 87.1 Å³/cell
**Raw formation energy**: -1.10 eV per atom
**Total moment**: 0.0 μB/f.u.
**Uncorrected energy**: -0.6343 Ry per atom
**SG**: No. 123
**Crystal system**: tetragonal

Lattice parameters (Å, degrees): 4.380 4.380 4.540 90.00 90.00 90.00
Fractional coordinates of all 5 atoms:
Sc 0.500 0.000 0.000
Nb 0.500 0.500 0.500
O 0.000 0.000 0.000
Hf 0.000 0.000 0.500
Sc 0.000 0.500 0.000

=====

Record 5
A plane-wave DFT calculation with PBE-GGA was carried out for a geometry-optimized HfNbSe2O structure.

**V**: 129.8 Å³/cell
**Raw formation energy**: 0.96 eV per atom
**Total moment**: 0.0 μB/f.u.
**Uncorrected energy**: -0.3990 Ry per atom
**SG**: No. 123
**Crystal system**: tetragonal

Lattice parameters (Å, degrees): 4.939 5.319 4.939 90.00 90.00 90.00
Fractional coordinates of all 5 atoms:
Se 0.500 0.000 0.000
Nb 0.000 0.500 0.000
Se 0.000 0.000 0.500
O 0.500 0.500 0.500
Hf 0.000 0.000 0.000

=====

Record 6
A plane-wave DFT calculation with PBE-GGA was carried out for a geometry-optimized SrHfNbSnO6 structure.

**V**: 139.7 Å³/cell
**Raw formation energy**: -2.57 eV per atom
**Total moment**: 0.3 μB/f.u.
**Uncorrected energy**: -0.5961 Ry per atom
**SG**: No. 216
**Crystal system**: cubic

Lattice parameters (Å, degrees): 5.824 5.824 5.824 60.00 60.00 60.00
Each line ends with the local moment (μB).
Fractional coordinates of all 10 atoms:
Sn 0.250 0.250 0.250  0.04
O 0.748 0.748 0.252  0.00
Hf 0.000 0.000 0.000  0.04
O 0.252 0.748 0.748  0.00
Sr 0.750 0.750 0.750  0.00
O 0.748 0.252 0.748  0.00
O 0.252 0.748 0.252  0.00
O 0.748 0.252 0.252  0.00
O 0.252 0.252 0.748  0.00
Nb 0.500 0.500 0.500  0.21

=====

Record 7
A plane-wave DFT calculation with PBE-GGA was carried out for a geometry-optimized SrHf2NbO8 structure.

**V**: 165.9 Å³/cell
**Raw formation energy**: -2.89 eV per atom
**Total moment**: 0.8 μB/f.u.
**Uncorrected energy**: -0.6492 Ry per atom
**SG**: No. 65
**Crystal system**: orthorhombic

Lattice parameters (Å, degrees): 4.947 4.943 6.788 90.00 90.00 88.67
Each line ends with the local moment (μB).
Fractional coordinates of all 12 atoms:
O 0.796 0.204 0.206  0.02
O 0.299 0.299 0.000  0.06
O 0.796 0.204 0.794  0.02
O 0.664 0.665 0.500  0.24
O 0.204 0.796 0.794  0.02
Nb 0.000 0.000 0.000  -0.01
Sr 0.000 0.000 0.500  0.02
O 0.204 0.796 0.206  0.02
Hf 0.500 0.500 0.758  -0.01
Hf 0.500 0.500 0.242  -0.01
O 0.701 0.701 0.000  0.06
O 0.336 0.335 0.500  0.24

=====

Record 8
A plane-wave DFT calculation with PBE-GGA was carried out for a geometry-optimized SrHfNbO6 structure.

**V**: 260.5 Å³/cell
**Raw formation energy**: -2.74 eV per atom
**Total moment**: 1.0 μB/f.u.
**Uncorrected energy**: -0.6216 Ry per atom
**SG**: No. 102
**Crystal system**: tetragonal

Lattice parameters (Å, degrees): 5.097 5.097 10.028 90.00 90.00 90.00
Each line ends with the local moment (μB).
Fractional coordinates of all 18 atoms:
O 0.330 0.330 0.004  0.02
O 0.670 0.670 0.004  0.02
O 0.170 0.830 0.504  0.02
Hf 0.000 0.000 0.337  -0.03
O 0.216 0.784 0.795  0.23
O 0.226 0.774 0.201  0.21
Sr 0.000 0.000 0.999  0.00
O 0.716 0.716 0.295  0.23
O 0.726 0.726 0.701  0.21
Nb 0.000 0.000 0.662  -0.07
O 0.274 0.274 0.701  0.21
Hf 0.500 0.500 0.837  -0.03
O 0.774 0.226 0.201  0.21
Sr 0.500 0.500 0.499  0.00
O 0.830 0.170 0.504  0.02
O 0.284 0.284 0.295  0.23
O 0.784 0.216 0.795  0.23
Nb 0.500 0.500 0.162  -0.07

=====

Record 9
A plane-wave DFT calculation with PBE-GGA was carried out for a geometry-optimized HfTiNb2O structure.

**V**: 80.1 Å³/cell
**Raw formation energy**: -0.87 eV per atom
**Total moment**: 0.0 μB/f.u.
**Uncorrected energy**: -0.6949 Ry per atom
**SG**: No. 123
**Crystal system**: tetragonal

Lattice parameters (Å, degrees): 4.494 3.968 4.494 90.00 90.00 90.00
Fractional coordinates of all 5 atoms:
Hf 0.500 0.500 0.500
Nb 0.000 0.000 0.500
Nb 0.500 0.000 0.000
Ti 0.000 0.500 0.000
O 0.000 0.000 0.000

=====

Record 10
A plane-wave DFT calculation with PBE-GGA was carried out for a geometry-optimized HfNbTl2O6 structure.

**V**: 313.5 Å³/cell
**Raw formation energy**: -2.05 eV per atom
**Total moment**: 0.0 μB/f.u.
**Uncorrected energy**: -0.5513 Ry per atom
**SG**: No. 166
**Crystal system**: trigonal

Lattice parameters (Å, degrees): 6.055 6.055 10.477 73.21 73.21 60.00
Fractional coordinates of all 20 atoms:
O 0.198 0.721 0.883
O 0.600 0.600 0.634
O 0.600 0.165 0.634
O 0.400 0.835 0.366
O 0.835 0.400 0.366
O 0.802 0.802 0.117
O 0.721 0.198 0.883
Hf 0.601 0.601 0.198
Nb 0.500 0.500 0.500
O 0.802 0.279 0.117
Tl 0.875 0.875 0.376
Tl 0.744 0.744 0.769
O 0.279 0.802 0.117
Hf 0.399 0.399 0.802
Tl 0.256 0.256 0.231
O 0.198 0.198 0.883
O 0.400 0.400 0.366
Nb 0.000 0.000 0.000
O 0.165 0.600 0.634
Tl 0.125 0.125 0.624

=====

Record 11
A plane-wave DFT calculation with PBE-GGA was carried out for a geometry-optimized HfNb2TlO structure.

**V**: 114.7 Å³/cell
**Raw formation energy**: 1.50 eV per atom
**Total moment**: 0.0 μB/f.u.
**Uncorrected energy**: -0.4394 Ry per atom
**SG**: No. 123
**Crystal system**: tetragonal

Lattice parameters (Å, degrees): 5.316 4.060 5.316 90.00 90.00 90.00
Fractional coordinates of all 5 atoms:
Hf 0.500 0.500 0.500
O 0.000 0.500 0.000
Tl 0.000 0.000 0.000
Nb 0.000 0.000 0.500
Nb 0.500 0.000 0.000

=====

Record 12
A plane-wave DFT calculation with PBE-GGA was carried out for a geometry-optimized HfNb2Tl3O9 structure.

**V**: 210.1 Å³/cell
**Raw formation energy**: -2.08 eV per atom
**Total moment**: 0.0 μB/f.u.
**Uncorrected energy**: -0.5535 Ry per atom
**SG**: No. 164
**Crystal system**: trigonal

Lattice parameters (Å, degrees): 5.828 5.828 7.141 90.00 90.00 120.00
Fractional coordinates of all 15 atoms:
O 0.000 0.500 0.000
O 0.830 0.661 0.672
Tl 0.333 0.667 0.672
Tl 0.667 0.333 0.328
O 0.170 0.830 0.328
O 0.500 0.500 0.000
Nb 0.667 0.333 0.830
O 0.661 0.830 0.328
O 0.170 0.339 0.328
Hf 0.000 0.000 0.500
O 0.500 0.000 0.000
O 0.339 0.170 0.672
Tl 0.000 0.000 0.000
Nb 0.333 0.667 0.170
O 0.830 0.170 0.672

=====

- Which value of raw formation energy does entry 8 give?
  -2.74 eV per atom